[1]
A geometry-optimized Pm2AgRuC structure, computed with PBE-GGA.

Structure (CIF):
```
data_Pm2AgRuC
_chemical_formula_sum 'Pm2 Ag1 Ru1 C1'
_cell_length_a 3.906
_cell_length_b 5.191
_cell_length_c 5.191
_cell_angle_alpha 90.00
_cell_angle_beta 90.00
_cell_angle_gamma 90.00
_space_group_name_H-M_alt 'P 1'
_space_group_IT_number 1
_space_group_name_Hall 'P 1'
loop_
_atom_site_label
_atom_site_fract_x
_atom_site_fract_y
_atom_site_fract_z
Pm1 0.000 0.000 0.500
Pm2 0.000 0.500 0.000
Ru1 0.500 0.000 0.000
Ag1 0.500 0.500 0.500
C1 0.000 0.000 0.000
```


[2]
A geometry-optimized PmThAgC structure, computed with PBE-GGA.

Structure (CIF):
```
data_PmThAgC
_chemical_formula_sum 'Pm1 Th1 Ag1 C1'
_cell_length_a 3.700
_cell_length_b 3.688
_cell_length_c 8.129
_cell_angle_alpha 90.03
_cell_angle_beta 103.16
_cell_angle_gamma 120.04
_space_group_name_H-M_alt 'P 1'
_space_group_IT_number 1
_space_group_name_Hall 'P 1'
loop_
_atom_site_label
_atom_site_fract_x
_atom_site_fract_y
_atom_site_fract_z
Ag1 0.971 0.383 0.370
Th1 0.091 0.944 0.048
Pm1 0.511 0.153 0.680
C1 0.306 0.551 0.872
```


[3]
A geometry-optimized Pm2YAgC structure, computed with PBE-GGA.

Structure (CIF):
```
data_Pm2YAgC
_chemical_formula_sum 'Pm2 Y1 Ag1 C1'
_cell_length_a 5.098
_cell_length_b 5.098
_cell_length_c 4.839
_cell_angle_alpha 90.00
_cell_angle_beta 90.00
_cell_angle_gamma 90.00
_space_group_name_H-M_alt 'P 1'
_space_group_IT_number 1
_space_group_name_Hall 'P 1'
loop_
_atom_site_label
_atom_site_fract_x
_atom_site_fract_y
_atom_site_fract_z
C1 0.000 0.000 0.000
Pm1 0.500 0.000 0.000
Pm2 0.000 0.500 0.000
Y1 0.000 0.000 0.500
Ag1 0.500 0.500 0.500
```


[4]
A geometry-optimized Pr4Ag2C structure, computed with PBE-GGA.

Structure (CIF):
```
data_Pr4Ag2C
_chemical_formula_sum 'Pr4 Ag2 C1'
_cell_length_a 5.173
_cell_length_b 5.173
_cell_length_c 8.356
_cell_angle_alpha 108.03
_cell_angle_beta 108.03
_cell_angle_gamma 90.00
_space_group_name_H-M_alt 'P 1'
_space_group_IT_number 1
_space_group_name_Hall 'P 1'
loop_
_atom_site_label
_atom_site_fract_x
_atom_site_fract_y
_atom_site_fract_z
Pr1 0.829 0.829 0.657
Pr2 0.171 0.171 0.343
Pr3 0.500 0.000 0.000
Pr4 0.000 0.500 0.000
Ag1 0.373 0.373 0.745
Ag2 0.627 0.627 0.255
C1 0.000 0.000 0.000
```


[5]
A geometry-optimized Pr2AgC structure, computed with PBE-GGA.

Structure (CIF):
```
data_Pr2AgC
_chemical_formula_sum 'Pr2 Ag1 C1'
_cell_length_a 3.774
_cell_length_b 3.774
_cell_length_c 8.173
_cell_angle_alpha 76.65
_cell_angle_beta 76.65
_cell_angle_gamma 60.00
_space_group_name_H-M_alt 'P 1'
_space_group_IT_number 1
_space_group_name_Hall 'P 1'
loop_
_atom_site_label
_atom_site_fract_x
_atom_site_fract_y
_atom_site_fract_z
Pr1 0.727 0.727 0.818
Pr2 0.273 0.273 0.182
Ag1 0.500 0.500 0.500
C1 0.000 0.000 0.000
```


[6]
A geometry-optimized PrThAgC structure, computed with PBE-GGA.

Structure (CIF):
```
data_PrThAgC
_chemical_formula_sum 'Pr1 Th1 Ag1 C1'
_cell_length_a 3.736
_cell_length_b 3.723
_cell_length_c 8.188
_cell_angle_alpha 90.02
_cell_angle_beta 103.21
_cell_angle_gamma 120.05
_space_group_name_H-M_alt 'P 1'
_space_group_IT_number 1
_space_group_name_Hall 'P 1'
loop_
_atom_site_label
_atom_site_fract_x
_atom_site_fract_y
_atom_site_fract_z
Pr1 0.509 0.152 0.677
Ag1 0.967 0.381 0.364
Th1 0.091 0.944 0.048
C1 0.311 0.554 0.881
```


no.,energy relative to the elements (meV/atom)
1,-293
2,-179
3,-123
4,-56
5,-77
6,-152